La4SeCl: single point on PBEsol structure, meta-GGA SCAN.

a = 6.272 Å, b = 6.272 Å, c = 6.272 Å
α = 60.00°, β = 60.00°, γ = 60.00°
Atoms (fractional coordinates):
La: 0.376 0.376 0.376
La: 0.376 0.376 0.871
La: 0.376 0.871 0.376
La: 0.871 0.376 0.376
Se: 0.750 0.750 0.750
Cl: 0.000 0.000 0.000

Formation energy from raw total energies, meV/atom: -309
Space-group type: F-43m
Magnetization, μB per atom: 0.000
Calculated density, g/cm³: 6.378